The following is a GGA-PBE calculation of a relaxed Cs8K3Pt crystal, from Alexandria.

Uncorrected energy: -1.33 eV per atom
DOS(E_F): 21.33 states/eV per cell
ΔE_f: 0.017 eV/atom
Total moment: 0.000 μB/cell

Unit cell a=14.8265 b=14.8265 c=10.8685 alpha=90.00 beta=90.00 gamma=120.00
Space group P6_3mc (No. 186)
One atom of each set of equivalent atoms:
Cs 0.0000 0.0000 0.1963 (multiplicity 2)
Cs 0.0746 0.5373 0.2155 (multiplicity 6)
Cs 0.2216 0.4433 0.5000 (multiplicity 6)
Cs 0.3333 0.6667 0.9546 (multiplicity 2)
K 0.1506 0.3012 0.9415 (multiplicity 6)
Pt 0.3333 0.6667 0.3045 (multiplicity 2)